Compound: Np2RhO11
Source: Alexandria
Functional: GGA-PBE
Structure: optimized geometry

abc: 7.7227 7.7261 8.9908
angles: 107.75 105.16 109.85
Last column: nearest neighbours and their distance in Å.
Fractional positions:
Np: 0.0000 0.0000 0.0000  4 O 1.82-2.02
Np: 0.1464 0.6471 0.5001  4 O 1.82-2.02
Np: 0.4453 0.4724 0.0145  4 O 1.82-1.98
Np: 0.6884 0.2161 0.5145  4 O 1.82-1.98
Rh: 0.6756 0.7056 0.5105  6 O 1.95-2.00
Rh: 0.9518 0.4813 0.0106  6 O 1.95-2.00
O: 0.0057 0.7603 0.0392  1 Rh 1.97, 1 Np 2.00
O: 0.0894 0.5684 0.2608  1 Np 1.93, 1 Rh 2.00
O: 0.1273 0.1585 0.2295  1 Np 1.82
O: 0.1981 0.0703 0.4943  1 O 1.25
O: 0.2079 0.5248 0.9890  1 Rh 1.96, 1 Np 1.98
O: 0.2163 0.7494 0.7295  1 Np 1.82
O: 0.2575 0.1736 0.9766  2 Np 2.09-2.13
O: 0.3342 0.0164 0.5267  1 O 1.25
O: 0.3882 0.3942 0.7880  1 Np 1.82
O: 0.4254 0.6807 0.5400  1 Rh 1.97, 1 Np 2.00
O: 0.5250 0.5919 0.2584  1 Np 1.93, 1 Rh 1.99
O: 0.5405 0.0481 0.2877  1 Np 1.82
O: 0.5704 0.9421 0.9938  1 O 1.25
O: 0.6109 0.4286 0.4899  1 Rh 1.96, 1 Np 1.98
O: 0.6571 0.8390 0.0270  1 O 1.25
O: 0.7011 0.4538 0.0447  1 Np 1.98, 1 Rh 1.99
O: 0.7365 0.9898 0.5436  1 Np 1.98, 1 Rh 1.99
O: 0.8127 0.3790 0.7585  1 Np 1.93, 1 Rh 1.99
O: 0.8391 0.8188 0.7606  1 Np 1.93, 1 Rh 2.00
O: 0.8981 0.2018 0.9701  1 Rh 1.95, 1 Np 2.02
O: 0.9142 0.7185 0.4693  1 Rh 1.95, 1 Np 2.02
O: 0.9498 0.3663 0.4769  2 Np 2.09-2.13

Calculated values
- Final energy: -0.575 Ry per atom
- N(E_F): 11.517 states/eV/cell

Compound: Np2RhO8
Source: Alexandria
Functional: GGA-PBE
Structure: optimized geometry

abc: 6.3958 6.3958 4.2590
angles: 90.00 90.00 120.00
Last column: nearest neighbours and their distance in Å.
Fractional positions:
Np: 0.3333 0.6667 0.2545  4 O 1.96-2.06
Np: 0.6667 0.3333 0.7455  4 O 1.96-2.06
Rh: 0.0000 0.0000 0.5000  6 O 2.01
O: 0.1564 0.3128 0.2623  1 Np 1.96, 1 Rh 2.01
O: 0.1564 0.8436 0.2623  1 Np 1.96, 1 Rh 2.01
O: 0.3128 0.1564 0.7377  1 Np 1.96, 1 Rh 2.01
O: 0.3333 0.6667 0.7370  2 Np 2.06-2.20
O: 0.6667 0.3333 0.2630  2 Np 2.06-2.20
O: 0.6872 0.8436 0.2623  1 Np 1.96, 1 Rh 2.01
O: 0.8436 0.1564 0.7377  1 Np 1.96, 1 Rh 2.01
O: 0.8436 0.6872 0.7377  1 Np 1.96, 1 Rh 2.01

Calculated values
- Final energy: -0.625 Ry per atom
- N(E_F): 6.176 states/eV/cell

Compound: NpRhO5
Source: Alexandria
Functional: GGA-PBE
Structure: optimized geometry

abc: 5.5548 5.5548 7.4093
angles: 98.21 98.21 57.99
Last column: nearest neighbours and their distance in Å.
Fractional positions:
Np: 0.0668 0.9332 0.7500  5 O 2.00-2.18
Np: 0.9332 0.0668 0.2500  5 O 2.00-2.18
Rh: 0.5000 0.5000 0.0000  6 O 2.01-2.07
Rh: 0.5000 0.5000 0.5000  6 O 2.01-2.07
O: 0.0622 0.7204 0.5049  1 Np 2.03, 1 Rh 2.07
O: 0.1352 0.5851 0.8524  1 Np 2.00, 1 Rh 2.01
O: 0.2796 0.9378 0.9951  1 Np 2.03, 1 Rh 2.07
O: 0.3374 0.6626 0.2500  2 Rh 2.05, 1 Np 2.18
O: 0.4149 0.8648 0.6476  1 Np 2.00, 1 Rh 2.01
O: 0.5851 0.1352 0.3524  1 Np 2.00, 1 Rh 2.01
O: 0.6626 0.3374 0.7500  2 Rh 2.05, 1 Np 2.18
O: 0.7204 0.0622 0.0049  1 Np 2.03, 1 Rh 2.07
O: 0.8648 0.4149 0.1476  1 Np 2.00, 1 Rh 2.01
O: 0.9378 0.2796 0.4951  1 Np 2.03, 1 Rh 2.07

Calculated values
- Final energy: -0.586 Ry per atom
- N(E_F): 0.286 states/eV/cell

Compound: NpRuRhO6
Source: Alexandria
Functional: GGA-PBE
Structure: optimized geometry

abc: 5.1675 5.1675 9.1534
angles: 90.00 90.00 120.00
Last column: nearest neighbours and their distance in Å.
Fractional positions:
Np: 0.3333 0.6667 0.2500  6 O 2.10
Np: 0.6667 0.3333 0.7500  6 O 2.10
Ru: 0.0000 0.0000 0.0000  6 O 2.03
Ru: 0.0000 0.0000 0.5000  6 O 2.03
Rh: 0.3333 0.6667 0.7500  6 O 2.07
Rh: 0.6667 0.3333 0.2500  6 O 2.07
O: 0.0048 0.3279 0.6242  1 Ru 2.03, 1 Rh 2.07, 1 Np 2.10
O: 0.0048 0.6769 0.8758  1 Ru 2.03, 1 Rh 2.07, 1 Np 2.10
O: 0.3231 0.3279 0.8758  1 Ru 2.03, 1 Rh 2.07, 1 Np 2.10
O: 0.3231 0.9952 0.6242  1 Ru 2.03, 1 Rh 2.07, 1 Np 2.10
O: 0.3279 0.0048 0.1242  1 Ru 2.03, 1 Rh 2.07, 1 Np 2.10
O: 0.3279 0.3231 0.3758  1 Ru 2.03, 1 Rh 2.07, 1 Np 2.10
O: 0.6721 0.6769 0.6242  1 Ru 2.03, 1 Rh 2.07, 1 Np 2.10
O: 0.6721 0.9952 0.8758  1 Ru 2.03, 1 Rh 2.07, 1 Np 2.10
O: 0.6769 0.0048 0.3758  1 Ru 2.03, 1 Rh 2.07, 1 Np 2.10
O: 0.6769 0.6721 0.1242  1 Ru 2.03, 1 Rh 2.07, 1 Np 2.10
O: 0.9952 0.3231 0.1242  1 Ru 2.03, 1 Rh 2.07, 1 Np 2.10
O: 0.9952 0.6721 0.3758  1 Ru 2.03, 1 Rh 2.07, 1 Np 2.10

Calculated values
- Final energy: -0.605 Ry per atom
- N(E_F): 14.252 states/eV/cell

Compound: NpScRhO6
Source: Alexandria
Functional: GGA-PBE
Structure: optimized geometry

abc: 5.1984 5.1984 9.5940
angles: 90.00 90.00 120.00
Last column: nearest neighbours and their distance in Å.
Fractional positions:
Np: 0.3333 0.6667 0.2500  6 O 2.10
Np: 0.6667 0.3333 0.7500  6 O 2.10
Sc: 0.0000 0.0000 0.0000  6 O 2.15
Sc: 0.0000 0.0000 0.5000  6 O 2.15
Rh: 0.3333 0.6667 0.7500  6 O 2.05
Rh: 0.6667 0.3333 0.2500  6 O 2.05
O: 0.0070 0.3389 0.6302  1 Rh 2.05, 1 Np 2.10, 1 Sc 2.15
O: 0.0070 0.6681 0.8698  1 Rh 2.05, 1 Np 2.10, 1 Sc 2.15
O: 0.3319 0.3389 0.8698  1 Rh 2.05, 1 Np 2.10, 1 Sc 2.15
O: 0.3319 0.9930 0.6302  1 Rh 2.05, 1 Np 2.10, 1 Sc 2.15
O: 0.3389 0.0070 0.1302  1 Rh 2.05, 1 Np 2.10, 1 Sc 2.15
O: 0.3389 0.3319 0.3698  1 Rh 2.05, 1 Np 2.10, 1 Sc 2.15
O: 0.6611 0.6681 0.6302  1 Rh 2.05, 1 Np 2.10, 1 Sc 2.15
O: 0.6611 0.9930 0.8698  1 Rh 2.05, 1 Np 2.10, 1 Sc 2.15
O: 0.6681 0.0070 0.3698  1 Rh 2.05, 1 Np 2.10, 1 Sc 2.15
O: 0.6681 0.6611 0.1302  1 Rh 2.05, 1 Np 2.10, 1 Sc 2.15
O: 0.9930 0.3319 0.1302  1 Rh 2.05, 1 Np 2.10, 1 Sc 2.15
O: 0.9930 0.6611 0.3698  1 Rh 2.05, 1 Np 2.10, 1 Sc 2.15

Calculated values
- Final energy: -0.637 Ry per atom
- N(E_F): 0.237 states/eV/cell

Compound: SrNpRhO6
Source: Alexandria
Functional: GGA-PBE
Structure: optimized geometry

abc: 5.2677 5.2677 11.3445
angles: 90.00 90.00 120.00
Last column: nearest neighbours and their distance in Å.
Fractional positions:
Sr: 0.0000 0.0000 0.0000  6 O 2.53
Sr: 0.0000 0.0000 0.5000  6 O 2.53
Np: 0.3333 0.6667 0.2500  6 O 2.05
Np: 0.6667 0.3333 0.7500  6 O 2.05
Rh: 0.3333 0.6667 0.7500  6 O 2.05
Rh: 0.6667 0.3333 0.2500  6 O 2.05
O: 0.0006 0.3583 0.1480  1 Np 2.05, 1 Rh 2.05
O: 0.0006 0.6423 0.3520  1 Np 2.05, 1 Rh 2.05
O: 0.3583 0.0006 0.6480  1 Np 2.05, 1 Rh 2.05
O: 0.3577 0.3583 0.3520  1 Np 2.05, 1 Rh 2.05
O: 0.3583 0.3577 0.8520  1 Np 2.05, 1 Rh 2.05
O: 0.3577 0.9994 0.1480  1 Np 2.05, 1 Rh 2.05
O: 0.6423 0.0006 0.8520  1 Np 2.05, 1 Rh 2.05
O: 0.6417 0.6423 0.1480  1 Np 2.05, 1 Rh 2.05
O: 0.6423 0.6417 0.6480  1 Np 2.05, 1 Rh 2.05
O: 0.6417 0.9994 0.3520  1 Np 2.05, 1 Rh 2.05
O: 0.9994 0.3577 0.6480  1 Np 2.05, 1 Rh 2.05
O: 0.9994 0.6417 0.8520  1 Np 2.05, 1 Rh 2.05

Calculated values
- Final energy: -0.586 Ry per atom
- N(E_F): 2.052 states/eV/cell

Compound: SrNpRh2O8
Source: Alexandria
Functional: GGA-PBE
Structure: optimized geometry

abc: 4.9293 6.6559 4.9382
angles: 90.00 91.93 90.00
Last column: nearest neighbours and their distance in Å.
Fractional positions:
Sr: 0.0000 0.0000 0.0000  6 O 2.39
Np: 0.0000 0.5000 0.0000  4 O 2.00
Rh: 0.5000 0.2508 0.5000  6 O 2.03-2.10
Rh: 0.5000 0.7492 0.5000  6 O 2.03-2.10
O: 0.2076 0.2881 0.2062  1 Np 2.00, 1 Rh 2.03
O: 0.2076 0.7119 0.2062  1 Np 2.00, 1 Rh 2.03
O: 0.3181 0.5000 0.6804  2 Rh 2.10, 1 Np 2.26
O: 0.3365 0.0000 0.6617  2 Rh 2.03
O: 0.6635 0.0000 0.3383  2 Rh 2.03
O: 0.6819 0.5000 0.3196  2 Rh 2.10, 1 Np 2.26
O: 0.7924 0.2881 0.7938  1 Np 2.00, 1 Rh 2.03
O: 0.7924 0.7119 0.7938  1 Np 2.00, 1 Rh 2.03

Calculated values
- Final energy: -0.545 Ry per atom
- N(E_F): 9.312 states/eV/cell

Compound: Sr2NpRhO8
Source: Alexandria
Functional: GGA-PBE
Structure: optimized geometry

abc: 5.3265 6.6525 5.3346
angles: 90.00 91.98 90.00
Last column: nearest neighbours and their distance in Å.
Fractional positions:
Sr: 0.0000 0.2422 0.0000  6 O 2.44-2.54
Sr: 0.0000 0.7578 0.0000  6 O 2.44-2.54
Np: 0.5000 0.5000 0.5000  6 O 1.94-2.10
Rh: 0.5000 0.0000 0.5000  2 O 1.87
O: 0.2395 0.5000 0.2368  1 Np 1.94
O: 0.2484 0.0000 0.2465  1 Rh 1.87
O: 0.3296 0.2521 0.6680  1 Np 2.10, 1 Rh 2.12
O: 0.3296 0.7479 0.6680  1 Np 2.10, 1 Rh 2.12
O: 0.6704 0.2521 0.3320  1 Np 2.10, 1 Rh 2.12
O: 0.6704 0.7479 0.3320  1 Np 2.10, 1 Rh 2.12
O: 0.7516 0.0000 0.7535  1 Rh 1.87
O: 0.7605 0.5000 0.7632  1 Np 1.94

Calculated values
- Final energy: -0.539 Ry per atom